# 1
Material: Sr3AuCl
Method: DFT, GGA-PBE
State: relaxed

## Properties
N(E_F) in states/eV/f.u.: 2.58
Formation energy without anion corrections in meV per atom: -678.3

Cell: 6.0925 6.0925 6.0925 Å, 90.00 90.00 90.00°
Space group Pm-3m (No. 221)
One atom of each set of equivalent atoms:
Sr 0.0000 0.0000 0.5000
Au 0.0000 0.0000 0.0000
Cl 0.5000 0.5000 0.5000

***

# 2
Material: Sr2AuCl
Method: DFT, GGA-PBE
State: relaxed

## Properties
N(E_F) in states/eV/f.u.: 1.43
Formation energy without anion corrections in meV per atom: -1264.7

Cell: 7.6147 4.3976 8.2486 Å, 90.00 107.97 90.00°
Space group C2/m (No. 12)
One atom of each set of equivalent atoms:
Sr 0.2433 0.0000 0.2290
Au 0.0000 0.5000 0.0000
Cl 0.0000 0.0000 0.5000

***

# 3
Material: SrAu3Cl
Method: DFT, GGA-PBE
State: relaxed

## Properties
N(E_F) in states/eV/f.u.: 3.54
Formation energy without anion corrections in meV per atom: 220.9

Cell: 5.1465 5.1465 5.1465 Å, 90.00 90.00 90.00°
Space group Pm-3m (No. 221)
One atom of each set of equivalent atoms:
Sr 0.0000 0.0000 0.0000
Au 0.0000 0.5000 0.5000
Cl 0.5000 0.5000 0.5000

***

Number 1: offset from the most stable computed form 0 meV per atom. Number 2: offset from the most stable computed form 0 meV per atom. Number 3: offset from the most stable computed form 0 meV per atom.